Run P
A relaxed HPd3Br crystal. Source: the Alexandria database, functional PBE.

Unit cell a=4.141 b=4.141 c=4.141 alpha=90.00 beta=90.00 gamma=90.00
Fractional positions:
H (0.000, 0.000, 0.000)
Pd (0.000, 0.000, 0.500)
Pd (0.000, 0.500, 0.000)
Pd (0.500, 0.000, 0.000)
Br (0.500, 0.500, 0.500)

Calculated values
Density = 9.358 Mg/m³
Space-group type = Pm-3m

Run Q
A relaxed HPd3Br crystal. Source: the Alexandria database, functional PBE.

Unit cell a=4.802 b=4.802 c=4.802 alpha=90.00 beta=90.00 gamma=90.00
Fractional positions:
H (0.000, 0.000, 0.000)
Pd (0.000, 0.500, 0.500)
Pd (0.500, 0.000, 0.500)
Pd (0.500, 0.500, 0.000)
Br (0.500, 0.500, 0.500)

Calculated values
Density = 5.999 Mg/m³
Space-group type = Pm-3m

Which of them is the most stable, and which is the least stable? run P and run Q, in that order.

Run P
A relaxed HPdBr3 crystal. Source: the Alexandria database, functional PBE.

Unit cell a=4.675 b=4.675 c=4.675 alpha=90.00 beta=90.00 gamma=90.00
Fractional positions:
H (0.000, 0.000, 0.000)
Pd (0.500, 0.500, 0.500)
Br (0.000, 0.000, 0.500)
Br (0.000, 0.500, 0.000)
Br (0.500, 0.000, 0.000)

Calculated values
Density = 5.641 Mg/m³
Space-group type = Pm-3m

Run Q
A relaxed HPdBr3 crystal. Source: the Alexandria database, functional PBE.

Unit cell a=5.136 b=5.136 c=5.136 alpha=90.00 beta=90.00 gamma=90.00
Fractional positions:
H (0.000, 0.000, 0.000)
Pd (0.500, 0.500, 0.500)
Br (0.000, 0.500, 0.500)
Br (0.500, 0.000, 0.500)
Br (0.500, 0.500, 0.000)

Calculated values
Density = 4.256 Mg/m³
Space-group type = Pm-3m

Which of them is the most stable, and which is the least stable? run Q and run P, in that order.

Run P
A relaxed H3PdBr crystal. Source: the Alexandria database, functional PBE.

Unit cell a=3.729 b=3.729 c=3.729 alpha=90.00 beta=90.00 gamma=90.00
Fractional positions:
H (0.000, 0.000, 0.500)
H (0.000, 0.500, 0.000)
H (0.500, 0.000, 0.000)
Pd (0.000, 0.000, 0.000)
Br (0.500, 0.500, 0.500)

Calculated values
Density = 6.063 Mg/m³
Space-group type = Pm-3m

Run Q
A relaxed H3PdBr crystal. Source: the Alexandria database, functional PBE.

Unit cell a=3.809 b=3.809 c=3.809 alpha=90.00 beta=90.00 gamma=90.00
Fractional positions:
H (0.000, 0.000, 0.500)
H (0.000, 0.500, 0.000)
H (0.500, 0.000, 0.000)
Pd (0.500, 0.500, 0.500)
Br (0.000, 0.000, 0.000)

Calculated values
Density = 5.690 Mg/m³
Space-group type = Pm-3m

Which of them is the most stable, and which is the least stable? run P and run Q, in that order.